Entry from the Alexandria database: a relaxed structure of CsBa2HfN (GGA-PBE).

It has space group P4/mmm (No. 123), with a = 6.217 Å, b = 6.217 Å, c = 6.862 Å, α = 90.00°, β = 90.00° and γ = 90.00°. Symmetry generates all atoms from Cs at (0.000, 0.000, 0.000), Ba at (0.000, 0.500, 0.500), Hf at (0.000, 0.000, 0.500) and N at (0.500, 0.500, 0.000).

The calculation puts the formation energy from raw total energies at 1.78 eV per atom.